Entry a
Here is a relaxed Na3InS3 crystal from Alexandria. Energies are from PBE.

Calculated values
- Fermi-level density of states (states/eV/f.u.) = 0.0

a = 16.130 Å, b = 13.533 Å, c = 7.440 Å
α = 90.00°, β = 117.42°, γ = 90.00°
Space group C2/c (No. 15)
Unique sites:
Na: 0.000 0.062 0.250 [4 per cell]
Na: 0.000 0.222 0.750 [4 per cell]
Na: 0.091 0.418 0.043 [8 per cell]
Na: 0.203 0.067 0.088 [8 per cell]
In: 0.172 0.244 0.596 [8 per cell]
S: 0.107 0.389 0.685 [8 per cell]
S: 0.115 0.089 0.671 [8 per cell]
S: 0.150 0.237 0.237 [8 per cell]

---

Entry b
Here is a relaxed Na3InS3 crystal from Alexandria. Energies are from PBE.

Calculated values
- Fermi-level density of states (states/eV/f.u.) = 0.0

a = 8.033 Å, b = 12.567 Å, c = 7.077 Å
α = 90.00°, β = 97.63°, γ = 90.00°
Space group C2/m (No. 12)
Unique sites:
Na: 0.000 0.178 0.000 [4 per cell]
Na: 0.000 0.247 0.500 [4 per cell]
Na: 0.105 0.500 0.860 [4 per cell]
In: 0.196 0.000 0.634 [4 per cell]
S: 0.103 0.000 0.280 [4 per cell]
S: 0.173 0.341 0.225 [8 per cell]

---

Going by the computed energies, the most stable comes first: entry a, entry b.

---

Entry a
Here is a relaxed Na2InTeS crystal from Alexandria. Energies are from PBE.

Calculated values
- Fermi-level density of states (states/eV/f.u.) = 1.3

a = 5.188 Å, b = 5.188 Å, c = 5.244 Å
α = 90.00°, β = 90.00°, γ = 90.00°
Space group P4/mmm (No. 123)
Unique sites:
Na: 0.000 0.500 0.000 [2 per cell]
In: 0.000 0.000 0.500 [1 per cell]
Te: 0.500 0.500 0.500 [1 per cell]
S: 0.000 0.000 0.000 [1 per cell]

---

Entry b
Here is a relaxed Na2InTeS crystal from Alexandria. Energies are from PBE.

Calculated values
- Fermi-level density of states (states/eV/f.u.) = 3.3

a = 6.264 Å, b = 6.264 Å, c = 4.719 Å
α = 90.00°, β = 90.00°, γ = 90.00°
Space group P4/mmm (No. 123)
Unique sites:
Na: 0.000 0.500 0.000 [2 per cell]
In: 0.000 0.000 0.000 [1 per cell]
Te: 0.500 0.500 0.500 [1 per cell]
S: 0.000 0.000 0.500 [1 per cell]

---

Going by the computed energies, the most stable comes first: entry a, entry b.

---

Entry a
Here is a relaxed Na3InSb3 crystal from Alexandria. Energies are from PBE.

Calculated values
- Fermi-level density of states (states/eV/f.u.) = 1.0

a = 12.118 Å, b = 5.016 Å, c = 14.613 Å
α = 90.00°, β = 107.21°, γ = 90.00°
Space group C2/m (No. 12)
Unique sites:
Na: 0.001 0.000 0.366 [4 per cell]
Na: 0.107 0.000 0.922 [4 per cell]
Na: 0.203 0.000 0.205 [4 per cell]
In: 0.207 0.500 0.394 [4 per cell]
Sb: 0.003 0.500 0.773 [4 per cell]
Sb: 0.109 0.500 0.072 [4 per cell]
Sb: 0.149 0.500 0.576 [4 per cell]

---

Entry b
Here is a relaxed Na3InSb3 crystal from Alexandria. Energies are from PBE.

Calculated values
- Fermi-level density of states (states/eV/f.u.) = 2.3

a = 9.874 Å, b = 11.859 Å, c = 7.199 Å
α = 90.00°, β = 93.16°, γ = 90.00°
Space group C2/m (No. 12)
Unique sites:
Na: 0.000 0.153 0.000 [4 per cell]
Na: 0.000 0.240 0.500 [4 per cell]
Na: 0.023 0.500 0.235 [4 per cell]
In: 0.140 0.000 0.692 [4 per cell]
Sb: 0.198 0.000 0.297 [4 per cell]
Sb: 0.241 0.272 0.206 [8 per cell]

---

Going by the computed energies, the most stable comes first: entry a, entry b.

---

Entry a
Here is a relaxed Na3InSb crystal from Alexandria. Energies are from PBE.

Calculated values
- Fermi-level density of states (states/eV/f.u.) = 4.3

a = 5.667 Å, b = 5.667 Å, c = 5.667 Å
α = 90.00°, β = 90.00°, γ = 90.00°
Space group Pm-3m (No. 221)
Unique sites:
Na: 0.000 0.000 0.500 [3 per cell]
In: 0.000 0.000 0.000 [1 per cell]
Sb: 0.500 0.500 0.500 [1 per cell]

---

Entry b
Here is a relaxed Na3InSb crystal from Alexandria. Energies are from PBE.

Calculated values
- Fermi-level density of states (states/eV/f.u.) = 5.2

a = 5.860 Å, b = 5.860 Å, c = 5.860 Å
α = 90.00°, β = 90.00°, γ = 90.00°
Space group Pm-3m (No. 221)
Unique sites:
Na: 0.000 0.000 0.500 [3 per cell]
In: 0.500 0.500 0.500 [1 per cell]
Sb: 0.000 0.000 0.000 [1 per cell]

---

Entry c
Here is a relaxed Na3InSb crystal from Alexandria. Energies are from PBE.

Calculated values
- Fermi-level density of states (states/eV/f.u.) = 1.4

a = 10.651 Å, b = 9.449 Å, c = 6.521 Å
α = 90.00°, β = 90.00°, γ = 90.00°
Space group Ima2 (No. 46)
Unique sites:
Na: 0.021 0.249 0.000 [8 per cell]
Na: 0.250 0.028 0.750 [4 per cell]
In: 0.250 0.686 0.751 [4 per cell]
Sb: 0.250 0.113 0.250 [4 per cell]

---

Going by the computed energies, the most stable comes first: entry c, entry b, entry a.